Compound: TiCdSi2Te
Source: the Alexandria database
Functional: GGA-PBE
Structure: optimized geometry

Results
E_form (uncorrected)	0.71	eV/atom

Lattice parameters (Å, degrees): 4.8612 4.8612 5.4580 90.00 90.00 90.00
Last column: nearest neighbours and their distance in Å.
Space group P4/mmm (No. 123)
Inequivalent atoms, fractional coordinates:
1 Ti 0.0000 0.0000 0.0000 x1  4 Si 2.43
2 Cd 0.0000 0.0000 0.5000 x1  2 Ti 2.73
3 Si 0.0000 0.5000 0.0000 x2  2 Ti 2.43
4 Te 0.5000 0.5000 0.5000 x1  4 Cd 3.44, 8 Si 3.65

=====

Compound: HfNpPb2O8
Source: the Alexandria database
Functional: GGA-PBE
Structure: optimized geometry

Results
E_form (uncorrected)	-2.13	eV/atom

Lattice parameters (Å, degrees): 5.2238 6.8176 5.2316 90.00 91.35 90.00
Last column: nearest neighbours and their distance in Å.
Space group P2/m (No. 10)
Inequivalent atoms, fractional coordinates:
1 Hf 0.0000 0.0000 0.0000 x1  6 O 2.09-2.14
2 Np 0.0000 0.5000 0.0000 x1  6 O 1.96-2.13
3 Pb 0.5000 0.2409 0.5000 x2  6 O 2.27-2.46
4 O 0.1725 0.2506 0.8292 x4  1 Np 2.13, 1 Hf 2.14
5 O 0.2679 0.5000 0.2698 x2  1 Np 1.96
6 O 0.2850 0.0000 0.2862 x2  1 Hf 2.09, 2 Pb 2.27

=====

Compound: LaBeCuPb2
Source: the Alexandria database
Functional: GGA-PBE
Structure: optimized geometry

Results
ΔH_f (0 K)	13	kJ per mole of atoms

Lattice parameters (Å, degrees): 5.3244 5.3244 4.4060 90.00 90.00 90.00
Last column: nearest neighbours and their distance in Å.
Space group P4/mmm (No. 123)
Inequivalent atoms, fractional coordinates:
1 La 0.0000 0.0000 0.0000 x1  8 Pb 3.46, 4 Be 3.76
2 Be 0.5000 0.5000 0.0000 x1  2 Cu 2.20
3 Cu 0.5000 0.5000 0.5000 x1  2 Be 2.20
4 Pb 0.0000 0.5000 0.5000 x2  2 Cu 2.66

=====

Compound: Y2Hg2Au
Source: the Alexandria database
Functional: GGA-PBE
Structure: optimized geometry

Results
energy above the most stable polymorph in this dataset	162.2	meV per atom
ΔH_f (0 K)	-33	kJ per mole of atoms

Lattice parameters (Å, degrees): 7.8570 7.8570 4.4097 90.00 90.00 90.00
Last column: nearest neighbours and their distance in Å.
Space group P4/mbm (No. 127)
Inequivalent atoms, fractional coordinates:
1 Y 0.1614 0.3386 0.0000 x4  2 Au 2.95, 6 Hg 3.11-3.24
2 Hg 0.1408 0.6408 0.5000 x4  6 Y 3.11-3.24, 1 Hg 3.13
3 Au 0.0000 0.0000 0.0000 x2  4 Y 2.95

=====

Compound: Li2ZrAlO4
Source: the Alexandria database
Functional: GGA-PBE
Structure: optimized geometry

Results
E_form (uncorrected)	-2.45	eV/atom

Lattice parameters (Å, degrees): 4.0879 4.0879 9.7084 90.00 90.00 90.00
Last column: nearest neighbours and their distance in Å.
Space group I-4m2 (No. 119)
Inequivalent atoms, fractional coordinates:
1 Li 0.0000 0.0000 0.0000 x2  4 O 2.05
2 Li 0.0000 0.5000 0.2500 x2  4 O 2.12
3 Zr 0.0000 0.5000 0.7500 x2  6 O 2.12-2.29
4 Al 0.0000 0.0000 0.5000 x2  6 O 1.86-2.05
5 O 0.0000 0.0000 0.3083 x4  1 Al 1.86
6 O 0.0000 0.5000 0.5141 x4  2 Li 2.05, 2 Al 2.05, 1 Zr 2.29

=====

Compound: Nb2Fe5Pd12
Source: the Alexandria database
Functional: GGA-PBE
Structure: optimized geometry

Results
ΔH_f (0 K)	14	kJ per mole of atoms

Lattice parameters (Å, degrees): 14.3790 5.4053 8.3839 90.00 104.93 90.00
Last column: nearest neighbours and their distance in Å.
Space group C2/m (No. 12)
Inequivalent atoms, fractional coordinates:
1 Nb 0.0000 0.2385 0.0000 x4  2 Nb 2.58-2.83, 4 Pd 2.78-2.80, 2 Fe 2.82
2 Fe 0.0000 0.5000 0.5000 x2  6 Pd 2.47-2.53
3 Fe 0.1368 0.0000 0.8644 x4  7 Pd 2.43-2.68
4 Fe 0.1942 0.0000 0.3699 x4  7 Pd 2.50-2.58
5 Pd 0.0168 0.0000 0.3410 x4  2 Fe 2.43-2.50
6 Pd 0.0907 0.5000 0.2865 x4  1 Fe 2.47, 2 Pd 2.72
7 Pd 0.1517 0.2478 0.6042 x8  4 Fe 2.53-2.62, 3 Pd 2.68-2.75
8 Pd 0.1990 0.2535 0.1152 x8  3 Fe 2.48-2.68, 5 Pd 2.66-2.75

=====

Compound: MgTl6I8
Source: the Alexandria database
Functional: GGA-PBE
Structure: optimized geometry

Results
E_form (uncorrected)	-0.71	eV/atom

Lattice parameters (Å, degrees): 10.4700 10.4700 20.1949 90.00 90.00 120.00
Last column: nearest neighbours and their distance in Å.
Space group R-3 (No. 148, hexagonal axes)
Inequivalent atoms, fractional coordinates:
1 Mg 0.0000 0.0000 0.0000 x3  6 I 2.97
2 Tl 0.0203 0.3944 0.9256 x18  6 I 3.47-3.71, 1 Tl 3.88
3 I 0.0000 0.0000 0.3380 x6  6 Tl 3.47-3.71
4 I 0.0064 0.2364 0.0838 x18  1 Mg 2.97

=====

Compound: CuTcSe2
Source: the Alexandria database
Functional: GGA-PBE
Structure: optimized geometry

Results
energy above the most stable polymorph in this dataset	335.1	meV per atom
E_form (uncorrected)	0.30	eV/atom

Lattice parameters (Å, degrees): 2.7368 3.2612 7.9122 90.00 92.58 90.00
Last column: nearest neighbours and their distance in Å.
Space group P2/m (No. 10)
Inequivalent atoms, fractional coordinates:
1 Cu 0.0000 0.0000 0.0000 x1  4 Se 2.58, 2 Cu 2.74
2 Tc 0.0000 0.0000 0.5000 x1  4 Se 2.55, 2 Tc 2.74
3 Se 0.0390 0.5000 0.7485 x2  2 Tc 2.55, 2 Cu 2.58, 2 Se 2.74

=====

Compound: Tm5InPd2
Source: the Alexandria database
Functional: GGA-PBE
Structure: optimized geometry

Results
ΔH_f (0 K)	-59	kJ per mole of atoms

Lattice parameters (Å, degrees): 7.7511 7.7511 13.3495 90.00 90.00 90.00
Last column: nearest neighbours and their distance in Å.
Space group I4/mcm (No. 140)
Inequivalent atoms, fractional coordinates:
1 Tm 0.0000 0.0000 0.0000 x4  4 Pd 3.02, 2 In 3.34
2 Tm 0.1579 0.3421 0.1409 x16  3 Pd 2.95, 2 In 3.26
3 In 0.0000 0.0000 0.2500 x4  10 Tm 3.26-3.34
4 Pd 0.1351 0.3649 0.5000 x8  8 Tm 2.95-3.02, 1 Pd 2.96

=====

Compound: GaNi2
Source: the Alexandria database
Functional: GGA-PBE
Structure: optimized geometry

Results
ΔH_f (0 K)	-32	kJ per mole of atoms

Lattice parameters (Å, degrees): 4.0400 4.0400 5.0291 90.00 90.00 120.00
Last column: nearest neighbours and their distance in Å.
Space group P-3m1 (No. 164)
Inequivalent atoms, fractional coordinates:
1 Ga 0.3333 0.6667 0.2086 x2  8 Ni 2.37-2.56
2 Ni 0.0000 0.0000 0.0000 x1  8 Ni 2.51-2.77, 6 Ga 2.56
3 Ni 0.0000 0.0000 0.5000 x1  8 Ni 2.51-2.55, 6 Ga 2.75
4 Ni 0.3333 0.6667 0.7034 x2  5 Ga 2.37-2.54, 3 Ni 2.55

=====

Compound: CaPa2OsN4
Source: the Alexandria database
Functional: GGA-PBE
Structure: optimized geometry

Results
E_form (uncorrected)	-0.65	eV/atom

Lattice parameters (Å, degrees): 5.8378 5.8378 7.5967 90.00 90.00 90.00
Last column: nearest neighbours and their distance in Å.
Space group I-42m (No. 121)
Inequivalent atoms, fractional coordinates:
1 Ca 0.0000 0.0000 0.0000 x2  4 N 2.62
2 Pa 0.0000 0.5000 0.2500 x4  4 N 2.22
3 Os 0.0000 0.0000 0.5000 x2  4 N 2.03
4 N 0.1607 0.1607 0.7029 x8  1 Os 2.03, 2 Pa 2.22

=====

Compound: AcCd2In2Au2
Source: the Alexandria database
Functional: GGA-PBE
Structure: optimized geometry

Results
ΔH_f (0 K)	-37	kJ per mole of atoms

Lattice parameters (Å, degrees): 4.7964 4.7964 27.4694 90.00 90.00 120.00
Last column: nearest neighbours and their distance in Å.
Space group R-3m (No. 166, hexagonal axes)
Inequivalent atoms, fractional coordinates:
1 Ac 0.0000 0.0000 0.0000 x3  6 Au 3.35, 6 In 3.64
2 Cd 0.0000 0.0000 0.1382 x6  4 In 2.99-3.12, 3 Cd 3.18
3 In 0.0000 0.0000 0.2471 x6  3 Au 2.81, 4 Cd 2.99-3.12
4 Au 0.0000 0.0000 0.4017 x6  3 In 2.81

=====

Compound: Ni2Pd2Pt7
Source: the Alexandria database
Functional: GGA-PBE
Structure: optimized geometry

Results
energy above the most stable polymorph in this dataset	297.8	meV per atom
ΔH_f (0 K)	38	kJ per mole of atoms

Lattice parameters (Å, degrees): 7.7357 8.8235 5.4767 90.00 90.00 90.00
Last column: nearest neighbours and their distance in Å.
Space group Cmmm (No. 65)
Inequivalent atoms, fractional coordinates:
1 Ni 0.0000 0.2255 0.0000 x4  7 Pt 2.41-2.46
2 Pd 0.1689 0.5000 0.5000 x4  1 Pd 2.61, 6 Pt 2.64-2.87
3 Pt 0.0000 0.0000 0.2636 x4  2 Ni 2.46, 1 Pt 2.59
4 Pt 0.0000 0.5000 0.0000 x2  2 Ni 2.42
5 Pt 0.2500 0.2500 0.2600 x8  2 Ni 2.41, 1 Pt 2.63, 2 Pd 2.64

=====

Compound: LaAlP2O8
Source: the Alexandria database
Functional: GGA-PBE
Structure: optimized geometry

Results
E_form (uncorrected)	-2.80	eV/atom

Lattice parameters (Å, degrees): 4.9646 4.9646 6.7806 90.00 90.00 120.00
Last column: nearest neighbours and their distance in Å.
Space group P-3 (No. 147)
Inequivalent atoms, fractional coordinates:
1 La 0.0000 0.0000 0.0000 x1  12 O 2.64-2.87
2 Al 0.0000 0.0000 0.5000 x1  6 O 1.89
3 P 0.3333 0.6667 0.7441 x2  4 O 1.54-1.55
4 O 0.1026 0.3322 0.6759 x6  1 P 1.54
5 O 0.3333 0.6667 0.9720 x2  1 P 1.55

=====

Compound: PrDy4Y6
Source: the Alexandria database
Functional: GGA-PBE
Structure: optimized geometry

Results
energy above the most stable polymorph in this dataset	51.0	meV per atom
ΔH_f (0 K)	16	kJ per mole of atoms

Lattice parameters (Å, degrees): 10.9581 10.9581 3.5706 90.00 90.00 120.00
Last column: nearest neighbours and their distance in Å.
Space group P-6m2 (No. 187)
Inequivalent atoms, fractional coordinates:
1 Pr 0.0000 0.0000 0.0000 x1  2 Pr 3.57, 6 Dy 3.58, 6 Y 3.91
2 Dy 0.3275 0.1637 0.5000 x3  6 Y 3.31-3.53, 2 Dy 3.57, 2 Pr 3.58
3 Dy 0.3333 0.6667 0.0000 x1  9 Y 3.36-3.50, 2 Dy 3.57
4 Y 0.1833 0.3667 0.5000 x3  4 Dy 3.31-3.36, 6 Y 3.57-3.68
5 Y 0.5175 0.0351 0.0000 x3  5 Dy 3.50-3.53, 6 Y 3.57-3.68

=====

Compound: CdSiRh2
Source: the Alexandria database
Functional: GGA-PBE
Structure: optimized geometry

Results
E_form (uncorrected)	-0.37	eV/atom

Lattice parameters (Å, degrees): 3.7180 4.6361 7.1610 90.00 90.00 90.00
Last column: nearest neighbours and their distance in Å.
Space group Immm (No. 71)
Inequivalent atoms, fractional coordinates:
1 Cd 0.0000 0.0000 0.0000 x2  8 Rh 2.76-2.79, 4 Si 2.97
2 Si 0.0000 0.0000 0.5000 x2  4 Rh 2.39
3 Rh 0.0000 0.5000 0.2094 x4  2 Si 2.39

=====

Compound: KAg2IBr6
Source: the Alexandria database
Functional: GGA-PBE
Structure: optimized geometry

Results
E_form (uncorrected)	-0.48	eV/atom

Lattice parameters (Å, degrees): 7.5770 7.6018 7.7231 85.15 71.08 67.60
Last column: nearest neighbours and their distance in Å.
Space group P1 (No. 1)
Inequivalent atoms, fractional coordinates:
1 K 0.0000 0.0000 0.0000 x1  5 Br 3.26-3.60
2 Ag 0.5153 0.8424 0.2220 x1  4 Br 2.62-2.79
3 Ag 0.5372 0.2107 0.6787 x1  4 Br 2.65-2.88
4 I 0.9921 0.5315 0.5181 x1  4 Br 2.70-2.85
5 Br 0.1722 0.5460 0.7657 x1  1 I 2.72, 1 Ag 2.88
6 Br 0.2369 0.6900 0.2663 x1  1 Ag 2.69, 1 I 2.76
7 Br 0.4776 0.9294 0.8915 x1  2 Ag 2.66-2.67
8 Br 0.5799 0.1185 0.3405 x1  2 Ag 2.62-2.65
9 Br 0.7551 0.3577 0.7835 x1  1 Ag 2.66, 1 I 2.85
10 Br 0.8139 0.5070 0.2741 x1  1 I 2.70, 1 Ag 2.79

=====

Compound: K4InI7
Source: the Alexandria database
Functional: GGA-PBE
Structure: optimized geometry

Results
E_form (uncorrected)	-1.10	eV/atom

Lattice parameters (Å, degrees): 17.7449 6.0935 11.7848 90.00 108.31 90.00
Last column: nearest neighbours and their distance in Å.
Space group C2/m (No. 12)
Inequivalent atoms, fractional coordinates:
1 K 0.0232 0.0000 0.2140 x4  5 I 3.48-3.61
2 K 0.2434 0.5000 0.1687 x4  6 I 3.54-3.78
3 In 0.0000 0.5000 0.5000 x2  6 I 2.86-3.05
4 I 0.0000 0.0000 0.5000 x2  2 In 3.05
5 I 0.1140 0.5000 0.3580 x4  1 In 3.00
6 I 0.1289 0.5000 0.7192 x4  1 In 2.86
7 I 0.1471 0.0000 0.0362 x4  5 K 3.48-3.60

=====

Compound: Li3PmBi3
Source: the Alexandria database
Functional: GGA-PBE
Structure: optimized geometry

Results
energy above the most stable polymorph in this dataset	377.2	meV per atom
ΔH_f (0 K)	-1	kJ per mole of atoms

Lattice parameters (Å, degrees): 7.2888 7.2888 7.2888 90.00 90.00 90.00
Last column: nearest neighbours and their distance in Å.
Space group Pm-3n (No. 223)
Inequivalent atoms, fractional coordinates:
1 Li 0.0000 0.2500 0.5000 x6  4 Bi 2.58
2 Pm 0.0000 0.0000 0.0000 x2  12 Li 4.07, 12 Bi 4.07
3 Bi 0.0000 0.5000 0.2500 x6  4 Li 2.58

=====

Compound: Mn2Tc
Source: the Alexandria database
Functional: GGA-PBE
Structure: optimized geometry

Results
energy above the most stable polymorph in this dataset	415.2	meV per atom
ΔH_f (0 K)	32	kJ per mole of atoms

Lattice parameters (Å, degrees): 2.6456 3.9578 14.6420 90.00 90.00 90.00
Last column: nearest neighbours and their distance in Å.
Space group Imma (No. 74)
Inequivalent atoms, fractional coordinates:
1 Mn 0.0000 0.2500 0.0328 x4  3 Mn 2.20-2.29
2 Mn 0.0000 0.2500 0.1891 x4  3 Mn 2.22-2.29
3 Tc 0.0000 0.2500 0.6283 x4  10 Mn 2.54-2.76, 2 Tc 2.65

=====

Number 1: total magnetic moment 0.27 μB/cell. Number 2: total magnetic moment 0.74 μB/cell. Number 3: total magnetic moment 0.00 μB/cell. Number 4: total magnetic moment 0.00 μB/cell. Number 5: total magnetic moment 1.41 μB/cell. Number 6: total magnetic moment 35.79 μB/cell. Number 7: total magnetic moment 0.00 μB/cell. Number 8: total magnetic moment 0.00 μB/cell. Number 9: total magnetic moment 0.00 μB/cell. Number 10: total magnetic moment 0.00 μB/cell. Number 11: total magnetic moment 0.00 μB/cell. Number 12: total magnetic moment 0.00 μB/cell. Number 13: total magnetic moment 0.48 μB/cell. Number 14: total magnetic moment 0.00 μB/cell. Number 15: total magnetic moment 0.00 μB/cell. Number 16: total magnetic moment 0.00 μB/cell. Number 17: total magnetic moment 0.00 μB/cell. Number 18: total magnetic moment 0.00 μB/cell. Number 19: total magnetic moment 0.00 μB/cell. Number 20: total magnetic moment 0.00 μB/cell.